# 1
Entry from Alexandria via LeMat-Bulk: LiYTmNi after structural relaxation (PBE).

Values from the calculation:
- SG: No. 216
- Theoretical density: 6.47 g/cm3
- ΔH_f (0 K): -0.157 eV per atom

Cell: 4.898 4.898 4.898 Å, 60.00 60.00 60.00°
Fractional positions:
Y 0.750 0.750 0.750
Ni 0.000 0.000 0.000
Tm 0.250 0.250 0.250
Li 0.500 0.500 0.500

=====

# 2
Entry from Alexandria via LeMat-Bulk: GeSe2BrCl after structural relaxation (PBE).

Values from the calculation:
- E above lowest polymorph: 349 meV/atom
- SG: No. 123
- Theoretical density: 4.33 g/cm3
- Energy relative to the elements, uncorrected: 3.72 eV per formula unit

Cell: 5.117 5.117 5.070 Å, 90.00 90.00 90.00°
Last column: magnetic moment on the atom in μB.
Fractional positions:
Ge 0.500 0.500 0.500  -0.02
Se 0.000 0.500 0.000  0.20
Se 0.500 0.000 0.000  0.20
Br 0.000 0.000 0.500  -0.01
Cl 0.000 0.000 0.000  0.09

=====

# 3
Entry from Alexandria via LeMat-Bulk: Ta2RhCl after structural relaxation (PBE).

Values from the calculation:
- E above lowest polymorph: 91 meV/atom
- SG: No. 99
- Theoretical density: 11.62 g/cm3
- Energy relative to the elements, uncorrected: -0.53 eV per formula unit

Cell: 2.983 2.983 8.033 Å, 90.00 90.00 90.00°
Fractional positions:
Cl 0.000 0.000 0.470
Rh 0.500 0.500 0.787
Ta 0.000 0.000 0.987
Ta 0.500 0.500 0.256

=====

# 4
Entry from Alexandria via LeMat-Bulk: Be2AgCl after structural relaxation (PBE).

Values from the calculation:
- E above lowest polymorph: 359 meV/atom
- SG: No. 123
- Theoretical density: 4.47 g/cm3
- Energy relative to the elements, uncorrected: 1.58 eV per formula unit

Cell: 3.063 3.063 6.390 Å, 90.00 90.00 90.00°
Fractional positions:
Be 0.000 0.000 0.941
Be 0.000 0.000 0.559
Ag 0.500 0.500 0.750
Cl 0.500 0.500 0.250

=====

# 5
Entry from Alexandria via LeMat-Bulk: SmCu2Au4 after structural relaxation (PBE).

Values from the calculation:
- SG: No. 12
- Theoretical density: 13.67 g/cm3
- ΔH_f (0 K): -0.368 eV per atom

Cell: 5.639 5.237 5.639 Å, 118.20 102.79 61.80°
Fractional positions:
Sm 0.000 0.000 0.000
Cu 0.500 0.750 0.500
Cu 0.500 0.250 0.500
Au 0.601 0.699 0.000
Au 0.399 0.301 0.000
Au 0.000 0.301 0.601
Au 0.000 0.699 0.399

=====

# 6
Entry from Alexandria via LeMat-Bulk: NpGaI4 after structural relaxation (PBE).

Values from the calculation:
- SG: No. 10
- Theoretical density: 4.81 g/cm3
- Energy relative to the elements, uncorrected: -4.14 eV per formula unit

Cell: 4.582 7.452 8.240 Å, 91.66 90.00 90.00°
Last column: magnetic moment on the atom in μB.
Fractional positions:
Np 0.000 0.000 0.000  4.01
Ga 0.500 0.000 0.500  0.00
I 0.000 0.234 0.699  -0.03
I 0.500 0.765 0.840  -0.04
I 0.500 0.235 0.160  -0.04
I 0.000 0.766 0.301  -0.03

=====

# 7
Entry from Alexandria via LeMat-Bulk: HgSbBr after structural relaxation (PBE).

Values from the calculation:
- E above lowest polymorph: 0 meV/atom
- SG: No. 2
- Theoretical density: 6.20 g/cm3
- Energy relative to the elements, uncorrected: -0.58 eV per formula unit

Cell: 5.679 7.147 5.890 Å, 65.19 90.24 84.05°
Fractional positions:
Hg 0.523 0.749 0.627
Hg 0.477 0.251 0.373
Sb 0.532 0.771 0.116
Sb 0.468 0.229 0.884
Br 0.038 0.715 0.143
Br 0.962 0.285 0.857

=====

# 8
Entry from Alexandria via LeMat-Bulk: SrTa2W after structural relaxation (PBE).

Values from the calculation:
- E above lowest polymorph: 613 meV/atom
- SG: No. 47
- Theoretical density: 12.88 g/cm3
- ΔH_f (0 K): 1.184 eV per atom

Cell: 2.944 5.305 5.229 Å, 90.00 90.00 90.00°
Fractional positions:
Sr 0.000 0.500 0.500
Ta 0.000 0.000 0.000
Ta 0.500 0.500 0.000
W 0.500 0.000 0.500

=====

# 9
Entry from Alexandria via LeMat-Bulk: PrDy2Er9 after structural relaxation (PBE).

Values from the calculation:
- E above lowest polymorph: 16 meV/atom
- SG: No. 191
- Theoretical density: 8.69 g/cm3
- ΔH_f (0 K): 0.041 eV per atom

Cell: 3.500 11.150 11.150 Å, 120.00 90.00 90.00°
Fractional positions:
Pr 0.000 0.000 0.000
Dy 0.000 0.333 0.667
Dy 0.000 0.667 0.333
Er 0.000 0.000 0.500
Er 0.000 0.500 0.500
Er 0.000 0.500 0.000
Er 0.500 0.357 0.178
Er 0.500 0.178 0.822
Er 0.500 0.178 0.357
Er 0.500 0.822 0.643
Er 0.500 0.822 0.178
Er 0.500 0.643 0.822

=====

# 10
Entry from Alexandria via LeMat-Bulk: CaReAg2 after structural relaxation (PBE).

Values from the calculation:
- E above lowest polymorph: 88 meV/atom
- SG: No. 123
- Theoretical density: 9.82 g/cm3
- ΔH_f (0 K): 0.561 eV per atom

Cell: 5.002 5.002 2.986 Å, 90.00 90.00 90.00°
Last column: magnetic moment on the atom in μB.
Fractional positions:
Re 0.000 0.500 0.500  0.32
Ca 0.500 0.000 0.500  -0.01
Ag 0.000 0.000 0.000  0.01
Ag 0.500 0.500 0.000  0.01

=====

# 11
Entry from Alexandria via LeMat-Bulk: Tl2CrNi after structural relaxation (PBE).

Values from the calculation:
- E above lowest polymorph: 70 meV/atom
- SG: No. 6
- Theoretical density: 10.59 g/cm3
- ΔH_f (0 K): 0.490 eV per atom

Cell: 3.905 4.073 5.500 Å, 68.66 90.00 90.00°
Last column: magnetic moment on the atom in μB.
Fractional positions:
Cr 0.000 0.694 0.485  3.33
Ni 0.500 0.552 0.774  0.23
Tl 0.000 0.983 0.910  0.00
Tl 0.500 0.271 0.331  -0.01

=====

# 12
Entry from Alexandria via LeMat-Bulk: TmAgPd3 after structural relaxation (PBE).

Values from the calculation:
- E above lowest polymorph: 0 meV/atom
- SG: No. 59
- Theoretical density: 10.44 g/cm3
- ΔH_f (0 K): -0.509 eV per atom

Cell: 4.469 5.794 7.322 Å, 90.00 90.00 90.00°
Fractional positions:
Tm 0.500 0.000 0.162
Tm 0.000 0.500 0.838
Ag 0.000 0.000 0.552
Ag 0.500 0.500 0.448
Pd 0.000 0.730 0.245
Pd 0.500 0.770 0.755
Pd 0.500 0.230 0.755
Pd 0.000 0.270 0.245
Pd 0.000 0.000 0.921
Pd 0.500 0.500 0.079